SrLi2Mg | PBE | optimized geometry

a = 3.8503 Å, b = 3.8673 Å, c = 8.6606 Å
α = 63.51°, β = 90.00°, γ = 90.00°
Closest atoms and distances in Å follow each position.
Fractional coordinates of all 4 atoms:
Li  0.0000  0.9393  0.0613  1 Mg 2.95, 4 Li 3.09-3.10
Li  0.5000  0.2494  0.2501  4 Li 3.09-3.10, 4 Mg 3.11
Sr  0.5000  0.7530  0.7471  4 Mg 3.61, 6 Li 3.66-3.90, 4 Sr 3.85-3.87
Mg  0.0000  0.5583  0.4415  5 Li 2.95-3.11

Values from the calculation:
E_form, eV/atom: 0.01
DOS at the Fermi energy, states/eV per cell: 2.69
Total energy, eV/atom: -1.77
Polymorph energy (0 for the lowest one), meV per atom: 43



Sr4LiMg2 | PBE | optimized geometry

a = 7.2572 Å, b = 7.2572 Å, c = 7.2572 Å
α = 110.17°, β = 109.12°, γ = 109.12°
Closest atoms and distances in Å follow each position.
Fractional coordinates of all 7 atoms:
Sr  0.0000  0.5000  0.0000  4 Mg 3.63, 2 Li 3.63
Sr  0.5000  0.0000  0.0000  2 Li 3.63, 4 Mg 3.63
Sr  0.5000  0.5000  0.5000  2 Li 3.63, 4 Mg 3.63
Sr  0.0000  0.0000  0.5000  4 Mg 3.63, 2 Li 3.63
Mg  0.5000  0.5000  0.0000  8 Sr 3.63
Mg  0.5000  0.0000  0.5000  8 Sr 3.63
Li  0.0000  0.0000  0.0000  8 Sr 3.63

Values from the calculation:
E_form, eV/atom: 0.05
DOS at the Fermi energy, states/eV per cell: 8.23
Total energy, eV/atom: -1.64



SrLi4Mg2 | PBE | optimized geometry

a = 6.0648 Å, b = 6.1637 Å, c = 6.1637 Å
α = 75.99°, β = 60.53°, γ = 60.53°
Closest atoms and distances in Å follow each position.
Fractional coordinates of all 7 atoms:
Li  0.6901  0.6197  0.0000  2 Li 2.89, 4 Mg 3.15
Li  0.3099  0.0000  0.3803  2 Li 2.89, 4 Mg 3.15
Li  0.6901  0.0000  0.6197  2 Li 2.89, 4 Mg 3.15
Li  0.3099  0.3803  0.0000  2 Li 2.89, 4 Mg 3.15
Mg  0.2500  0.5000  0.5000  2 Mg 3.03, 8 Li 3.15
Mg  0.7500  0.5000  0.5000  2 Mg 3.03, 8 Li 3.15
Sr  0.0000  0.0000  0.0000  12 Li 3.33-3.66

Values from the calculation:
E_form, eV/atom: -0.03
DOS at the Fermi energy, states/eV per cell: 3.60
Total energy, eV/atom: -1.82
Polymorph energy (0 for the lowest one), meV per atom: 0



SrLi12Mg7 | PBE | optimized geometry

a = 7.3394 Å, b = 8.8090 Å, c = 8.8090 Å
α = 112.60°, β = 106.12°, γ = 106.12°
Closest atoms and distances in Å follow each position.
Fractional coordinates of all 20 atoms:
Mg  0.5448  0.3420  0.3419  7 Li 2.90-3.13, 1 Mg 3.19
Mg  0.5000  0.0000  0.0000  6 Mg 3.19, 6 Li 3.33
Mg  0.2028  0.6581  0.0000  7 Li 2.90-3.13, 1 Mg 3.19
Mg  0.7972  0.3419  0.0000  7 Li 2.90-3.13, 1 Mg 3.19
Mg  0.4552  0.6580  0.6581  7 Li 2.90-3.13, 1 Mg 3.19
Mg  0.2028  0.0000  0.6580  7 Li 2.90-3.13, 1 Mg 3.19
Mg  0.7972  0.0000  0.3420  7 Li 2.90-3.13, 1 Mg 3.19
Li  0.5986  0.0000  0.6535  3 Li 2.69-2.96, 3 Mg 2.92
Li  0.7254  0.4509  0.7254  4 Li 2.87-2.96, 4 Mg 2.90-3.13
Li  0.7254  0.7254  0.4509  4 Li 2.87-2.96, 4 Mg 2.90-3.13
Li  0.2746  0.5491  0.2746  4 Li 2.87-2.96, 4 Mg 2.90-3.13
Li  0.0549  0.6535  0.6535  3 Li 2.69-2.96, 3 Mg 2.92
Li  0.0000  0.7254  0.2746  4 Li 2.87-2.96, 4 Mg 2.90-3.13
Li  0.4014  0.3465  0.0000  3 Li 2.69-2.96, 3 Mg 2.92
Li  0.0000  0.2746  0.7254  4 Li 2.87-2.96, 4 Mg 2.90-3.13
Li  0.5986  0.6535  0.0000  3 Li 2.69-2.96, 3 Mg 2.92
Li  0.9451  0.3465  0.3465  3 Li 2.69-2.96, 3 Mg 2.92
Li  0.2746  0.2746  0.5491  4 Li 2.87-2.96, 4 Mg 2.90-3.13
Li  0.4014  0.0000  0.3465  3 Li 2.69-2.96, 3 Mg 2.92
Sr  0.0000  0.0000  0.0000  12 Li 3.61-4.02, 8 Mg 3.67-3.71

Values from the calculation:
E_form, eV/atom: 0.03
DOS at the Fermi energy, states/eV per cell: 7.88
Total energy, eV/atom: -1.76



SrLi2Mg | PBE | optimized geometry

a = 5.0743 Å, b = 3.6000 Å, c = 6.6153 Å
α = 80.79°, β = 90.00°, γ = 90.00°
Closest atoms and distances in Å follow each position.
Fractional coordinates of all 4 atoms:
Mg  0.5000  0.2500  0.2500  4 Li 3.00
Sr  0.5000  0.7500  0.7500  4 Li 3.50, 2 Mg 3.50, 2 Sr 3.60
Li  0.0000  0.0299  0.0578  2 Li 2.98-3.20, 2 Mg 3.00
Li  0.0000  0.4701  0.4422  2 Li 2.98-3.20, 2 Mg 3.00

Values from the calculation:
E_form, eV/atom: 0.07
DOS at the Fermi energy, states/eV per cell: 2.24
Total energy, eV/atom: -1.70
Polymorph energy (0 for the lowest one), meV per atom: 108



Sr3LiMg4 | PBE | optimized geometry

a = 3.9246 Å, b = 3.9246 Å, c = 17.0831 Å
α = 90.00°, β = 90.00°, γ = 90.00°
Closest atoms and distances in Å follow each position.
Fractional coordinates of all 8 atoms:
Sr  0.5000  0.5000  0.5000  8 Mg 3.60, 4 Sr 3.92
Sr  0.5000  0.5000  0.7680  8 Mg 3.60-3.67, 4 Sr 3.92, 1 Li 3.96
Sr  0.5000  0.5000  0.2320  8 Mg 3.60-3.67, 4 Sr 3.92, 1 Li 3.96
Mg  0.0000  0.0000  0.9085  1 Mg 3.13, 4 Li 3.19
Mg  0.0000  0.0000  0.6342  8 Sr 3.60, 4 Mg 3.92
Mg  0.0000  0.0000  0.3658  8 Sr 3.60, 4 Mg 3.92
Mg  0.0000  0.0000  0.0915  1 Mg 3.13, 4 Li 3.19
Li  0.5000  0.5000  0.0000  8 Mg 3.19

Values from the calculation:
E_form, eV/atom: -0.02
DOS at the Fermi energy, states/eV per cell: 6.43
Total energy, eV/atom: -1.69



Sr6Li6Mg | PBE | optimized geometry

a = 6.7739 Å, b = 9.0990 Å, c = 9.0990 Å
α = 82.12°, β = 68.15°, γ = 68.15°
Closest atoms and distances in Å follow each position.
Fractional coordinates of all 13 atoms:
Sr  0.6693  0.3307  0.3307  6 Li 3.57-3.66, 2 Sr 3.94, 1 Mg 3.95
Sr  0.3374  0.1626  0.1626  6 Li 3.51-3.59, 1 Sr 3.88, 2 Mg 3.90
Sr  0.3307  0.6693  0.6693  6 Li 3.57-3.66, 2 Sr 3.94, 1 Mg 3.95
Sr  0.0000  0.6813  0.3187  6 Li 3.50-3.53, 1 Mg 3.81
Sr  0.0000  0.3187  0.6813  6 Li 3.50-3.53, 1 Mg 3.81
Sr  0.6626  0.8374  0.8374  6 Li 3.51-3.59, 1 Sr 3.88, 2 Mg 3.90
Li  0.5000  0.5000  0.0000  4 Li 3.39-3.43, 6 Sr 3.53-3.59
Li  0.5000  0.2448  0.7552  4 Li 3.43, 6 Sr 3.50-3.66
Li  0.0000  0.0000  0.5000  4 Li 3.39-3.43, 6 Sr 3.53-3.59
Li  0.0000  0.5000  0.0000  4 Li 3.39-3.43, 6 Sr 3.53-3.59
Li  0.5000  0.0000  0.5000  4 Li 3.39-3.43, 6 Sr 3.53-3.59
Li  0.5000  0.7552  0.2448  4 Li 3.43, 6 Sr 3.50-3.66
Mg  0.0000  0.0000  0.0000  8 Sr 3.81-3.95

Values from the calculation:
E_form, eV/atom: 0.08
DOS at the Fermi energy, states/eV per cell: 11.93
Total energy, eV/atom: -1.70



Sr2LiMg | PBE | optimized geometry

a = 9.2490 Å, b = 9.2490 Å, c = 7.5250 Å
α = 52.08°, β = 52.08°, γ = 90.00°
Closest atoms and distances in Å follow each position.
Fractional coordinates of all 8 atoms:
Sr  0.8750  0.8608  0.7500  2 Li 3.31, 2 Mg 3.49
Sr  0.1392  0.6250  0.2500  2 Li 3.31, 2 Mg 3.49
Sr  0.6108  0.1250  0.2500  2 Li 3.31, 2 Mg 3.49
Sr  0.3750  0.3892  0.7500  2 Li 3.31, 2 Mg 3.49
Li  0.5000  0.5000  0.0000  4 Sr 3.31
Li  0.2500  0.7500  0.5000  4 Sr 3.31
Mg  0.7500  0.2500  0.5000  4 Sr 3.49, 2 Li 3.72
Mg  0.0000  0.0000  0.0000  4 Sr 3.49, 2 Li 3.72

Values from the calculation:
E_form, eV/atom: 0.22
DOS at the Fermi energy, states/eV per cell: 8.05
Total energy, eV/atom: -1.50